[1]
# Ca3Y4Tl4 GGA-PBE relaxed
# Formation enthalpy at 0 K ... -0.218 eV per atom
# Density ... 5999 kg/m³
data_Ca3Y4Tl4
_cell_length_a 4.605
_cell_length_b 8.971
_cell_length_c 17.332
_cell_angle_alpha 90.00
_cell_angle_beta 90.00
_cell_angle_gamma 90.00
_symmetry_space_group_name_H-M 'I m m m'
_symmetry_Int_Tables_number 71
_symmetry_space_group_name_Hall '-I 2 2'
loop_
_atom_site_label
_atom_site_type_symbol
_atom_site_fract_x
_atom_site_fract_y
_atom_site_fract_z
_atom_site_occupancy
Ca1 Ca 0.000 0.000 0.000 1
Ca2 Ca 0.000 0.500 0.113 1
Y1 Y 0.000 0.301 0.329 1
Tl1 Tl 0.000 0.000 0.235 1
Tl2 Tl 0.000 0.193 0.500 1

---

[2]
# Ca4YTl15 GGA-PBE relaxed
# Formation enthalpy at 0 K ... -0.242 eV per atom
# Density ... 9681 kg/m³
data_Ca4YTl15
_cell_length_a 4.837
_cell_length_b 4.837
_cell_length_c 24.309
_cell_angle_alpha 90.00
_cell_angle_beta 90.00
_cell_angle_gamma 90.00
_symmetry_space_group_name_H-M 'P 4/m m m'
_symmetry_Int_Tables_number 123
_symmetry_space_group_name_Hall '-P 4 2'
loop_
_atom_site_label
_atom_site_type_symbol
_atom_site_fract_x
_atom_site_fract_y
_atom_site_fract_z
_atom_site_occupancy
Ca1 Ca 0.000 0.000 0.101 1
Ca2 Ca 0.000 0.000 0.304 1
Y1 Y 0.000 0.000 0.500 1
Tl1 Tl 0.000 0.500 0.000 1
Tl2 Tl 0.000 0.500 0.202 1
Tl3 Tl 0.000 0.500 0.402 1
Tl4 Tl 0.500 0.500 0.102 1
Tl5 Tl 0.500 0.500 0.301 1
Tl6 Tl 0.500 0.500 0.500 1

---

[3]
# CaY2Tl GGA-PBE relaxed
# Energy above the lowest structure with this stoichiometry ... 207.2 meV per atom
# Formation enthalpy at 0 K ... 0.012 eV per atom
# Density ... 5716 kg/m³
data_CaY2Tl
_cell_length_a 7.887
_cell_length_b 7.887
_cell_length_c 7.887
_cell_angle_alpha 90.00
_cell_angle_beta 90.00
_cell_angle_gamma 90.00
_symmetry_space_group_name_H-M 'F -4 3 m'
_symmetry_Int_Tables_number 216
_symmetry_space_group_name_Hall 'F -4 2 3'
loop_
_atom_site_label
_atom_site_type_symbol
_atom_site_fract_x
_atom_site_fract_y
_atom_site_fract_z
_atom_site_occupancy
Ca1 Ca 0.000 0.000 0.000 1
Y1 Y 0.000 0.000 0.500 1
Y2 Y 0.250 0.250 0.750 1
Tl1 Tl 0.250 0.250 0.250 1

---

[4]
# CaY2Tl GGA-PBE relaxed
# Energy above the lowest structure with this stoichiometry ... 153.0 meV per atom
# Formation enthalpy at 0 K ... -0.042 eV per atom
# Density ... 5646 kg/m³
data_CaY2Tl
_cell_length_a 6.763
_cell_length_b 11.598
_cell_length_c 3.507
_cell_angle_alpha 90.00
_cell_angle_beta 115.47
_cell_angle_gamma 90.00
_symmetry_space_group_name_H-M 'C 1 2/m 1'
_symmetry_Int_Tables_number 12
_symmetry_space_group_name_Hall '-C 2y'
loop_
_atom_site_label
_atom_site_type_symbol
_atom_site_fract_x
_atom_site_fract_y
_atom_site_fract_z
_atom_site_occupancy
Ca1 Ca 0.000 0.000 0.000 1
Y1 Y 0.250 0.250 0.500 1
Tl1 Tl 0.000 0.500 0.000 1

---

[5]
# CaY2Tl GGA-PBE relaxed
# Energy above the lowest structure with this stoichiometry ... 17.7 meV per atom
# Formation enthalpy at 0 K ... -0.178 eV per atom
# Density ... 5531 kg/m³
data_CaY2Tl
_cell_length_a 3.635
_cell_length_b 3.635
_cell_length_c 9.596
_cell_angle_alpha 90.00
_cell_angle_beta 90.00
_cell_angle_gamma 90.00
_symmetry_space_group_name_H-M 'P 4 m m'
_symmetry_Int_Tables_number 99
_symmetry_space_group_name_Hall 'P 4 -2'
loop_
_atom_site_label
_atom_site_type_symbol
_atom_site_fract_x
_atom_site_fract_y
_atom_site_fract_z
_atom_site_occupancy
Ca1 Ca 0.000 0.000 0.000 1
Y1 Y 0.000 0.000 0.447 1
Y2 Y 0.500 0.500 0.703 1
Tl1 Tl 0.500 0.500 0.225 1

---

[6]
# CaY2Tl GGA-PBE relaxed
# Energy above the lowest structure with this stoichiometry ... 83.1 meV per atom
# Formation enthalpy at 0 K ... -0.112 eV per atom
# Density ... 5396 kg/m³
data_CaY2Tl
_cell_length_a 3.682
_cell_length_b 3.682
_cell_length_c 9.583
_cell_angle_alpha 90.00
_cell_angle_beta 90.00
_cell_angle_gamma 90.00
_symmetry_space_group_name_H-M 'P 4/m m m'
_symmetry_Int_Tables_number 123
_symmetry_space_group_name_Hall '-P 4 2'
loop_
_atom_site_label
_atom_site_type_symbol
_atom_site_fract_x
_atom_site_fract_y
_atom_site_fract_z
_atom_site_occupancy
Ca1 Ca 0.000 0.000 0.000 1
Y1 Y 0.500 0.500 0.293 1
Tl1 Tl 0.000 0.000 0.500 1

---

[7]
# Ca2YTl4 GGA-PBE relaxed
# Formation enthalpy at 0 K ... -0.296 eV per atom
# Density ... 7533 kg/m³
data_Ca2YTl4
_cell_length_a 7.474
_cell_length_b 7.474
_cell_length_c 7.786
_cell_angle_alpha 90.00
_cell_angle_beta 90.00
_cell_angle_gamma 90.00
_symmetry_space_group_name_H-M 'I 4/m m m'
_symmetry_Int_Tables_number 139
_symmetry_space_group_name_Hall '-I 4 2'
loop_
_atom_site_label
_atom_site_type_symbol
_atom_site_fract_x
_atom_site_fract_y
_atom_site_fract_z
_atom_site_occupancy
Ca1 Ca 0.000 0.500 0.000 1
Y1 Y 0.000 0.000 0.000 1
Tl1 Tl 0.250 0.250 0.250 1

---

[8]
# Ca2YTl GGA-PBE relaxed
# Energy above the lowest structure with this stoichiometry ... 155.7 meV per atom
# Formation enthalpy at 0 K ... -0.030 eV per atom
# Density ... 4706 kg/m³
data_Ca2YTl
_cell_length_a 6.934
_cell_length_b 11.336
_cell_length_c 3.564
_cell_angle_alpha 90.00
_cell_angle_beta 109.83
_cell_angle_gamma 90.00
_symmetry_space_group_name_H-M 'C 1 2/m 1'
_symmetry_Int_Tables_number 12
_symmetry_space_group_name_Hall '-C 2y'
loop_
_atom_site_label
_atom_site_type_symbol
_atom_site_fract_x
_atom_site_fract_y
_atom_site_fract_z
_atom_site_occupancy
Ca1 Ca 0.250 0.250 0.000 1
Y1 Y 0.000 0.000 0.500 1
Tl1 Tl 0.000 0.500 0.500 1

---

[9]
# Ca2YTl GGA-PBE relaxed
# Energy above the lowest structure with this stoichiometry ... 82.2 meV per atom
# Formation enthalpy at 0 K ... -0.104 eV per atom
# Density ... 4940 kg/m³
data_Ca2YTl
_cell_length_a 5.159
_cell_length_b 5.159
_cell_length_c 9.433
_cell_angle_alpha 90.00
_cell_angle_beta 90.00
_cell_angle_gamma 90.00
_symmetry_space_group_name_H-M 'I -4 m 2'
_symmetry_Int_Tables_number 119
_symmetry_space_group_name_Hall 'I -4 -2'
loop_
_atom_site_label
_atom_site_type_symbol
_atom_site_fract_x
_atom_site_fract_y
_atom_site_fract_z
_atom_site_occupancy
Ca1 Ca 0.000 0.000 0.000 1
Ca2 Ca 0.000 0.500 0.250 1
Y1 Y 0.000 0.000 0.500 1
Tl1 Tl 0.000 0.500 0.750 1

---

[10]
# CaYTl3 GGA-PBE relaxed
# Energy above the lowest structure with this stoichiometry ... 0.0 meV per atom
# Formation enthalpy at 0 K ... 0.230 eV per atom
# Density ... 6234 kg/m³
data_CaYTl3
_cell_length_a 5.825
_cell_length_b 5.825
_cell_length_c 5.825
_cell_angle_alpha 90.00
_cell_angle_beta 90.00
_cell_angle_gamma 90.00
_symmetry_space_group_name_H-M 'P m -3 m'
_symmetry_Int_Tables_number 221
_symmetry_space_group_name_Hall '-P 4 2 3'
loop_
_atom_site_label
_atom_site_type_symbol
_atom_site_fract_x
_atom_site_fract_y
_atom_site_fract_z
_atom_site_occupancy
Ca1 Ca 0.000 0.000 0.000 1
Y1 Y 0.500 0.500 0.500 1
Tl1 Tl 0.000 0.500 0.500 1

---

[11]
# CaY2Tl GGA-PBE relaxed
# Energy above the lowest structure with this stoichiometry ... 32.3 meV per atom
# Formation enthalpy at 0 K ... -0.163 eV per atom
# Density ... 5886 kg/m³
data_CaY2Tl
_cell_length_a 4.954
_cell_length_b 4.954
_cell_length_c 4.854
_cell_angle_alpha 90.00
_cell_angle_beta 90.00
_cell_angle_gamma 90.00
_symmetry_space_group_name_H-M 'P 4/m m m'
_symmetry_Int_Tables_number 123
_symmetry_space_group_name_Hall '-P 4 2'
loop_
_atom_site_label
_atom_site_type_symbol
_atom_site_fract_x
_atom_site_fract_y
_atom_site_fract_z
_atom_site_occupancy
Ca1 Ca 0.000 0.000 0.000 1
Y1 Y 0.000 0.500 0.500 1
Tl1 Tl 0.500 0.500 0.000 1

---

[12]
# CaY2Tl3 GGA-PBE relaxed
# Formation enthalpy at 0 K ... -0.398 eV per atom
# Density ... 8196 kg/m³
data_CaY2Tl3
_cell_length_a 3.796
_cell_length_b 3.796
_cell_length_c 11.687
_cell_angle_alpha 90.00
_cell_angle_beta 90.00
_cell_angle_gamma 90.00
_symmetry_space_group_name_H-M 'P 4/m m m'
_symmetry_Int_Tables_number 123
_symmetry_space_group_name_Hall '-P 4 2'
loop_
_atom_site_label
_atom_site_type_symbol
_atom_site_fract_x
_atom_site_fract_y
_atom_site_fract_z
_atom_site_occupancy
Ca1 Ca 0.000 0.000 0.000 1
Y1 Y 0.000 0.000 0.334 1
Tl1 Tl 0.500 0.500 0.171 1
Tl2 Tl 0.500 0.500 0.500 1

---

[13]
# CaY7Tl4 GGA-PBE relaxed
# Formation enthalpy at 0 K ... -0.033 eV per atom
# Density ... 6674 kg/m³
data_CaY7Tl4
_cell_length_a 14.435
_cell_length_b 5.711
_cell_length_c 10.805
_cell_angle_alpha 90.00
_cell_angle_beta 124.23
_cell_angle_gamma 90.00
_symmetry_space_group_name_H-M 'C 1 2/m 1'
_symmetry_Int_Tables_number 12
_symmetry_space_group_name_Hall '-C 2y'
loop_
_atom_site_label
_atom_site_type_symbol
_atom_site_fract_x
_atom_site_fract_y
_atom_site_fract_z
_atom_site_occupancy
Ca1 Ca 0.000 0.000 0.000 1
Y1 Y 0.000 0.500 0.000 1
Y2 Y 0.058 0.000 0.385 1
Y3 Y 0.202 0.500 0.633 1
Y4 Y 0.216 0.000 0.876 1
Tl1 Tl 0.070 0.500 0.772 1
Tl2 Tl 0.188 0.500 0.330 1